Entry 1:
A geometry-optimized IrSeCl2 structure. Source: Alexandria via LeMat-Bulk, functional PBE.

Results
Formation energy (no corrections) = 196 meV per atom
SG = No. 71
Final energy = -3.813 eV per atom
Relative energy among the computed polymorphs = 0.408 eV/atom

```
IrSeCl2
1.0
-2.4095 0.3777 6.7705
3.0270 -1.4684 6.3615
-0.6081 3.3967 -6.3151
Ir Cl Se
1 2 1
direct
0.7500 0.2500 0.5000
0.8885 0.8885 0.0000
0.6115 0.6115 0.0000
0.2500 0.7500 0.5000
```

Entry 2:
A geometry-optimized IrSeCl2 structure. Source: Alexandria via LeMat-Bulk, functional PBE.

Results
Formation energy (no corrections) = 1159 meV per atom
SG = No. 139
Final energy = -2.851 eV per atom
Relative energy among the computed polymorphs = 1.370 eV/atom

```
IrSeCl2
1.0
4.9437 -0.0188 0.0000
1.2148 4.7921 0.0000
-3.0792 -2.3867 3.0434
Se Ir Cl
1 1 2
direct
0.7500 0.2500 0.5000
0.2500 0.7500 0.5000
0.5000 0.5000 0.0000
0.0000 0.0000 0.0000
```

Entry 3:
A geometry-optimized Ir3SeCl structure. Source: Alexandria via LeMat-Bulk, functional PBE.

Results
Formation energy (no corrections) = 1758 meV per atom
SG = No. 221
Final energy = -4.625 eV per atom
Relative energy among the computed polymorphs = 0.175 eV/atom

```
Ir3SeCl
1.0
-3.9638 0.1976 -2.0955
-0.1547 -4.4834 -0.1301
-2.0991 -0.0426 3.9666
Ir Cl Se
3 1 1
direct
0.5000 0.0000 0.0000
0.0000 0.0000 0.5000
0.0000 0.5000 0.0000
0.0000 0.0000 0.0000
0.5000 0.5000 0.5000
```

Entry 4:
A geometry-optimized IrSeCl2 structure. Source: Alexandria via LeMat-Bulk, functional PBE.

Results
Formation energy (no corrections) = 777 meV per atom
SG = No. 47
Final energy = -3.233 eV per atom
Relative energy among the computed polymorphs = 0.989 eV/atom

```
IrSeCl2
1.0
-2.7659 0.8948 -0.7358
-1.3430 -5.0893 -1.1404
-1.2937 -0.5880 4.1476
Cl Se Ir
2 1 1
direct
0.0000 0.0000 0.0000
0.5000 0.5000 0.0000
0.0000 0.5000 0.5000
0.5000 0.0000 0.5000
```

Entry 5:
A geometry-optimized IrSeCl structure. Source: Alexandria via LeMat-Bulk, functional PBE.

Results
Formation energy (no corrections) = -350 meV per atom
SG = No. 11
Final energy = -5.081 eV per atom

```
IrSeCl
1.0
-2.2795 -2.0658 1.9930
1.2794 -3.9690 -2.6505
6.0701 -1.5913 5.3129
Ir Cl Se
2 2 2
direct
0.7503 0.7500 0.8664
0.2497 0.2500 0.1336
0.7491 0.2500 0.3322
0.2509 0.7500 0.6678
0.7502 0.2500 0.9368
0.2498 0.7500 0.0632
```

Entry 6:
A geometry-optimized IrSeCl2 structure. Source: Alexandria via LeMat-Bulk, functional PBE.

Results
Formation energy (no corrections) = 485 meV per atom
SG = No. 166
Final energy = -3.525 eV per atom
Relative energy among the computed polymorphs = 0.697 eV/atom

```
IrSeCl2
1.0
1.9901 0.0000 9.7136
-0.9950 1.7235 9.7136
-0.9950 -1.7235 9.7136
Ir Cl Se
1 2 1
direct
0.5000 0.5000 0.5000
0.8807 0.8807 0.8807
0.1193 0.1193 0.1193
0.0000 0.0000 0.0000
```

Entry 7:
A geometry-optimized IrSeCl2 structure. Source: Alexandria via LeMat-Bulk, functional PBE.

Results
Formation energy (no corrections) = -151 meV per atom
SG = No. 160
Final energy = -4.161 eV per atom
Relative energy among the computed polymorphs = 0.061 eV/atom

```
IrSeCl2
1.0
8.0750 0.0359 0.0215
7.2453 3.5655 0.0215
7.2453 1.7032 3.1325
Cl Ir Se
2 1 1
direct
0.9813 0.9813 0.9813
0.7811 0.7811 0.7811
0.5090 0.5090 0.5090
0.2286 0.2286 0.2286
```

Entry 8:
A geometry-optimized IrSeCl2 structure. Source: Alexandria via LeMat-Bulk, functional PBE.

Results
Formation energy (no corrections) = 1185 meV per atom
SG = No. 225
Final energy = -2.825 eV per atom
Relative energy among the computed polymorphs = 1.397 eV/atom

```
IrSeCl2
1.0
-4.0772 1.5795 1.6113
-1.4639 4.2711 -1.1529
-3.6079 0.5219 -2.9027
Cl Se Ir
2 1 1
direct
0.7500 0.7500 0.7500
0.2500 0.2500 0.2500
0.0000 0.0000 0.0000
0.5000 0.5000 0.5000
```

Entry 9:
A geometry-optimized Ir3SeCl structure. Source: Alexandria via LeMat-Bulk, functional PBE.

Results
Formation energy (no corrections) = 1583 meV per atom
SG = No. 221
Final energy = -4.800 eV per atom
Relative energy among the computed polymorphs = 0.000 eV/atom

```
Ir3SeCl
1.0
-0.5237 0.0243 -4.6313
2.7970 -3.7132 -0.3357
-3.6914 -2.8169 0.4027
Se Ir Cl
1 3 1
direct
0.0000 0.0000 0.0000
0.0000 0.0000 0.5000
0.5000 0.0000 0.0000
0.0000 0.5000 0.0000
0.5000 0.5000 0.5000
```

Entry 10:
A geometry-optimized IrSeCl structure. Source: Alexandria via LeMat-Bulk, functional PBE.

Results
Formation energy (no corrections) = 88 meV per atom
SG = No. 42
Final energy = -4.643 eV per atom

```
IrSeCl
1.0
-4.9764 6.2481 -1.3315
-6.2612 2.2794 -2.7902
-1.1456 2.4646 3.4846
Cl Ir Se
1 1 1
direct
0.9491 0.9491 0.0509
0.3291 0.3291 0.6709
0.7218 0.7218 0.2782
```

Entry 11:
A geometry-optimized IrSeCl structure. Source: Alexandria via LeMat-Bulk, functional PBE.

Results
Formation energy (no corrections) = 220 meV per atom
SG = No. 107
Final energy = -4.511 eV per atom

```
IrSeCl
1.0
6.6362 0.0314 0.0000
5.1506 4.1848 0.0000
-5.8934 -2.1081 2.2055
Se Ir Cl
1 1 1
direct
0.7164 0.7164 0.0000
0.3175 0.3175 0.0000
0.9661 0.9661 0.0000
```

Entry 12:
A geometry-optimized IrSeCl2 structure. Source: Alexandria via LeMat-Bulk, functional PBE.

Results
Formation energy (no corrections) = 248 meV per atom
SG = No. 122
Final energy = -3.762 eV per atom
Relative energy among the computed polymorphs = 0.460 eV/atom

```
IrSeCl2
1.0
9.9466 0.0000 0.0000
0.0000 9.9466 0.0000
4.9733 4.9733 2.3247
Cl Ir Se
4 2 2
direct
0.8750 0.1236 0.7500
0.8736 0.1250 0.2500
0.3750 0.1264 0.7500
0.8764 0.6250 0.2500
0.0000 0.0000 0.0000
0.7500 0.2500 0.5000
0.5000 0.5000 0.0000
0.2500 0.7500 0.5000
```

Entry 13:
A geometry-optimized IrSeCl2 structure. Source: Alexandria via LeMat-Bulk, functional PBE.

Results
Formation energy (no corrections) = 198 meV per atom
SG = No. 35
Final energy = -3.812 eV per atom
Relative energy among the computed polymorphs = 0.410 eV/atom

```
IrSeCl2
1.0
4.4037 -0.0948 0.0000
-2.9556 3.2659 0.0000
0.0000 0.0000 8.6695
Se Ir Cl
1 1 2
direct
0.5000 0.5000 0.6946
0.0000 0.0000 0.5226
0.0000 0.0000 0.9535
0.5000 0.5000 0.3293
```

Entry 14:
A geometry-optimized IrSeCl2 structure. Source: Alexandria via LeMat-Bulk, functional PBE.

Results
Formation energy (no corrections) = 275 meV per atom
SG = No. 99
Final energy = -3.735 eV per atom
Relative energy among the computed polymorphs = 0.487 eV/atom

```
IrSeCl2
1.0
3.0940 0.0000 0.0000
0.0000 3.0940 0.0000
0.0000 0.0000 9.2141
Ir Se Cl
1 1 2
direct
0.0000 0.0000 0.5315
0.5000 0.5000 0.6762
0.0000 0.0000 0.9512
0.5000 0.5000 0.3411
```

Entry 15:
A geometry-optimized IrSeCl2 structure. Source: Alexandria via LeMat-Bulk, functional PBE.

Results
Formation energy (no corrections) = 248 meV per atom
SG = No. 166
Final energy = -3.762 eV per atom
Relative energy among the computed polymorphs = 0.459 eV/atom

```
IrSeCl2
1.0
-7.4525 4.8243 9.2069
-5.5961 3.4418 10.9735
-4.9935 6.1364 10.0494
Cl Se Ir
2 1 1
direct
0.9417 0.9417 0.9417
0.0583 0.0583 0.0583
0.5000 0.5000 0.5000
0.0000 0.0000 0.0000
```

Entry 16:
A geometry-optimized IrSeCl2 structure. Source: Alexandria via LeMat-Bulk, functional PBE.

Results
Formation energy (no corrections) = 1120 meV per atom
SG = No. 65
Final energy = -2.890 eV per atom
Relative energy among the computed polymorphs = 1.332 eV/atom

```
IrSeCl2
1.0
-3.5218 3.6215 0.2210
-1.7192 -4.1468 2.3273
1.1448 0.9576 2.5518
Ir Se Cl
1 1 2
direct
0.5000 0.0000 0.5000
0.0000 0.5000 0.5000
0.5000 0.5000 0.0000
0.0000 0.0000 0.0000
```

Entry 17:
A geometry-optimized IrSeCl2 structure. Source: Alexandria via LeMat-Bulk, functional PBE.

Results
Formation energy (no corrections) = 370 meV per atom
SG = No. 65
Final energy = -3.640 eV per atom
Relative energy among the computed polymorphs = 0.581 eV/atom

```
IrSeCl2
1.0
3.2135 -0.0160 0.0000
-1.8452 2.6310 0.0000
0.0000 0.0000 10.8977
Cl Se Ir
2 1 1
direct
0.0000 0.0000 0.0817
0.0000 0.0000 0.4183
0.5000 0.5000 0.7500
0.5000 0.5000 0.2500
```

Entry 18:
A geometry-optimized Ir4SeCl structure. Source: Alexandria via LeMat-Bulk, functional PBE.

Results
Formation energy (no corrections) = 1161 meV per atom
SG = No. 216
Final energy = -5.635 eV per atom

```
Ir4SeCl
1.0
0.0000 3.7426 3.7426
3.7426 0.0000 3.7426
3.7426 3.7426 0.0000
Ir Se Cl
4 1 1
direct
0.3756 0.3756 0.3756
0.3756 0.3756 0.8732
0.3756 0.8732 0.3756
0.8732 0.3756 0.3756
0.7500 0.7500 0.7500
0.0000 0.0000 0.0000
```

Entry 19:
A geometry-optimized IrSeCl2 structure. Source: Alexandria via LeMat-Bulk, functional PBE.

Results
Formation energy (no corrections) = 40 meV per atom
SG = No. 44
Final energy = -3.970 eV per atom
Relative energy among the computed polymorphs = 0.252 eV/atom

```
IrSeCl2
1.0
-4.6999 -5.3853 1.7997
1.1624 -5.9793 4.1505
-0.1173 7.3012 -1.0044
Ir Cl Se
1 2 1
direct
0.5220 0.5220 0.0000
0.9254 0.9254 0.0000
0.6466 0.1466 0.5000
0.4060 0.9060 0.5000
```

Entry 20:
A geometry-optimized IrSeCl4 structure. Source: Alexandria via LeMat-Bulk, functional PBE.

Results
Formation energy (no corrections) = 1504 meV per atom
SG = No. 216
Final energy = -1.785 eV per atom

```
IrSeCl4
1.0
0.0000 3.9794 3.9794
3.9794 0.0000 3.9794
3.9794 3.9794 0.0000
Ir Se Cl
1 1 4
direct
0.7500 0.7500 0.7500
0.0000 0.0000 0.0000
0.8724 0.3759 0.3759
0.3759 0.8724 0.3759
0.3759 0.3759 0.8724
0.3759 0.3759 0.3759
```